# Ac2CoMoO6

A relaxed structure of Ac2CoMoO6 (PBE+U, the Alexandria database).

Calculated values
V: 137 Å³ per cell
electronic total energy: -7.482 eV per atom

Lattice parameters (Å, degrees): 5.7642 5.7642 5.9134 120.38 120.38 59.08
Positions (direct):
Ac (0.2478, 0.2478, 0.2399)
Ac (0.7522, 0.7522, 0.7601)
Co (0.5000, 0.5000, 0.0000)
Mo (0.0000, 0.0000, 0.5000)
O (0.1975, 0.7045, 0.2005)
O (0.2445, 0.2445, 0.6612)
O (0.2955, 0.8025, 0.7995)
O (0.7045, 0.1975, 0.2005)
O (0.7555, 0.7555, 0.3388)
O (0.8025, 0.2955, 0.7995)